# GGA-PBE La3Tl2Pt, optimized geometry
data_La3Tl2Pt
_space_group_name_H-M_alt 'P 1'
_space_group_IT_number 1
_cell_length_a 5.547
_cell_length_b 7.910
_cell_length_c 9.901
_cell_angle_alpha 113.58
_cell_angle_beta 106.27
_cell_angle_gamma 90.00
loop_
_space_group_symop_operation_xyz
'x,y,z'
loop_
_atom_site_label
_atom_site_fract_x
_atom_site_fract_y
_atom_site_fract_z
_atom_site_occupancy
La1 0.500 0.250 0.000 1
La2 0.500 0.750 0.000 1
La3 0.135 0.135 0.270 1
La4 0.865 0.365 0.730 1
La5 0.135 0.635 0.270 1
La6 0.865 0.865 0.730 1
Tl1 0.694 0.443 0.387 1
Tl2 0.694 0.943 0.387 1
Tl3 0.306 0.057 0.613 1
Tl4 0.306 0.557 0.613 1
Pt1 0.000 0.750 0.000 1
Pt2 0.000 0.250 0.000 1
# - symmetry = Cmmm (65)
# - E_tot (eV/cell) = -58.32
# - DFT formation energy (eV per formula unit) = -3.60
# - calculated volume (Å³/cell) = 379